## CoAuS2N (PBE-GGA)

Data for a geometry-optimized CoAuS2N structure.

Formation energy (no corrections): 626.4 meV per atom
E: -4.766 eV per atom
Density of states at the Fermi level: 3.16 states/eV/f.u.
Excess energy over the best structure of this formula in the dataset: 0.000 eV per atom

Cell: 4.742 4.742 3.352 Å, 90.00 90.00 90.00°
Space group P4/mmm (No. 123)
Inequivalent atoms, fractional coordinates:
Co 0.000 0.000 0.000 (multiplicity 1)
Au 0.500 0.500 0.500 (multiplicity 1)
S 0.000 0.500 0.000 (multiplicity 2)
N 0.000 0.000 0.500 (multiplicity 1)

=====

## LiTl2F2 (PBE-GGA)

Data for a geometry-optimized LiTl2F2 structure.

Formation energy (no corrections): -1086.2 meV per atom
E: -3.164 eV per atom
Density of states at the Fermi level: 1.87 states/eV/f.u.
Excess energy over the best structure of this formula in the dataset: 0.485 eV per atom

Cell: 4.286 4.286 13.363 Å, 90.00 90.00 90.00°
Space group I4/mmm (No. 139)
Inequivalent atoms, fractional coordinates:
Li 0.000 0.000 0.000 (multiplicity 2)
Tl 0.000 0.500 0.250 (multiplicity 4)
F 0.000 0.000 0.391 (multiplicity 4)

=====

## Mg3Br (PBE-GGA)

Data for a geometry-optimized Mg3Br structure.

Formation energy (no corrections): -319.8 meV per atom
E: -1.934 eV per atom
Density of states at the Fermi level: 1.30 states/eV/f.u.
Excess energy over the best structure of this formula in the dataset: 0.000 eV per atom

Cell: 3.6204 3.6204 26.0574 Å, 90.00 90.00 120.00°
Space group R-3m (No. 166, hexagonal axes)
Inequivalent atoms, fractional coordinates:
Mg 0.0000 0.0000 0.0000 (multiplicity 3)
Mg 0.0000 0.0000 0.2484 (multiplicity 6)
Br 0.0000 0.0000 0.5000 (multiplicity 3)

=====

## Sm2HPd6 (PBE-GGA)

Data for a geometry-optimized Sm2HPd6 structure.

E: -5.647 eV per atom
Density of states at the Fermi level: 1.06 states/eV/f.u.

Cell: 5.910 5.910 8.390 Å, 90.00 90.00 90.00°
Space group I4/mmm (No. 139)
Inequivalent atoms, fractional coordinates:
Sm 0.000 0.500 0.250 (multiplicity 4)
H 0.000 0.000 0.000 (multiplicity 2)
Pd 0.000 0.000 0.251 (multiplicity 4)
Pd 0.249 0.249 0.500 (multiplicity 8)

=====

## AcAg2PbF8 (PBE-GGA)

Data for a geometry-optimized AcAg2PbF8 structure.

Formation energy (no corrections): -2428.1 meV per atom
E: -4.802 eV per atom
Density of states at the Fermi level: 6.14 states/eV/f.u.

Cell: 4.261 5.811 8.468 Å, 84.31 89.61 84.10°
Space group P-1 (No. 2)
Inequivalent atoms, fractional coordinates:
Ac 0.000 0.000 0.000 (multiplicity 1)
Ag 0.483 0.489 0.732 (multiplicity 2)
Pb 0.000 0.000 0.500 (multiplicity 1)
F 0.057 0.755 0.264 (multiplicity 2)
F 0.066 0.751 0.777 (multiplicity 2)
F 0.458 0.251 0.476 (multiplicity 2)
F 0.461 0.238 0.963 (multiplicity 2)

=====

## La2HgRhN (PBE-GGA)

Data for a geometry-optimized La2HgRhN structure.

Formation energy (no corrections): -719.9 meV per atom
E: -5.887 eV per atom
Density of states at the Fermi level: 4.74 states/eV/f.u.

Cell: 5.292 5.292 3.987 Å, 90.00 90.00 90.00°
Space group P4/mmm (No. 123)
Inequivalent atoms, fractional coordinates:
La 0.000 0.500 0.000 (multiplicity 2)
Hg 0.000 0.000 0.500 (multiplicity 1)
Rh 0.500 0.500 0.500 (multiplicity 1)
N 0.500 0.500 0.000 (multiplicity 1)

=====

## TaTcMo (PBE-GGA)

Data for a geometry-optimized TaTcMo structure.

E: -11.283 eV per atom
Density of states at the Fermi level: 0.60 states/eV/f.u.
Excess energy over the best structure of this formula in the dataset: 0.000 eV per atom
E_form: -0.27 eV per atom

Cell: 4.4824 4.4824 5.5428 Å, 90.00 90.00 120.00°
Space group P3m1 (No. 156)
Inequivalent atoms, fractional coordinates:
Ta 0.0000 0.0000 0.0000 (multiplicity 1)
Ta 0.3333 0.6667 0.6689 (multiplicity 1)
Tc 0.3333 0.6667 0.1674 (multiplicity 1)
Tc 0.6667 0.3333 0.8342 (multiplicity 1)
Mo 0.0000 0.0000 0.4964 (multiplicity 1)
Mo 0.6667 0.3333 0.3348 (multiplicity 1)

=====

## Na4Ac3ScO8 (PBE-GGA)

Data for a geometry-optimized Na4Ac3ScO8 structure.

Formation energy (no corrections): -2522.2 meV per atom
E: -6.497 eV per atom
Density of states at the Fermi level: 0.00 states/eV/f.u.

Cell: 7.3276 7.3276 17.0036 Å, 90.00 90.00 120.00°
Space group R-3m (No. 166, hexagonal axes)
Inequivalent atoms, fractional coordinates:
Na 0.0000 0.0000 0.0000 (multiplicity 3)
Na 0.0000 0.5000 0.0000 (multiplicity 9)
Ac 0.0000 0.5000 0.5000 (multiplicity 9)
Sc 0.0000 0.0000 0.5000 (multiplicity 3)
O 0.0000 0.0000 0.2423 (multiplicity 6)
O 0.0314 0.5157 0.2369 (multiplicity 18)